A geometry-optimized La3Sm4Er structure, computed with GGA-PBE.

```
data_La3Sm4Er
_chemical_formula_sum 'La6 Sm8 Er2'
_cell_length_a 11.8353
_cell_length_b 6.3373
_cell_length_c 7.3520
_cell_angle_alpha 90.00
_cell_angle_beta 90.00
_cell_angle_gamma 90.00
_space_group_name_H-M_alt 'P m n 21'
_space_group_IT_number 31
_space_group_name_Hall 'P 2ac -2'
loop_
_atom_site_label
_atom_site_type_symbol
_atom_site_fract_x
_atom_site_fract_y
_atom_site_fract_z
La1 La 0.0000 0.1685 0.0000
La2 La 0.2481 0.9983 0.7508
Sm1 Sm 0.0000 0.1678 0.5009
Sm2 Sm 0.0000 0.6686 0.2503
Sm3 Sm 0.2492 0.4990 0.4996
Er1 Er 0.0000 0.6672 0.7486
```

## Properties
As for the formation energy: 0.0 eV per formula unit. The offset from the most stable computed form is 0.0 meV per atom.



A geometry-optimized AgRu2Au structure, computed with GGA-PBE.

```
data_AgRu2Au
_chemical_formula_sum 'Ag4 Ru8 Au4'
_cell_length_a 6.3293
_cell_length_b 6.3293
_cell_length_c 6.3293
_cell_angle_alpha 90.00
_cell_angle_beta 90.00
_cell_angle_gamma 90.00
_space_group_name_H-M_alt 'F m -3 m'
_space_group_IT_number 225
_space_group_name_Hall '-F 4 2 3'
loop_
_atom_site_label
_atom_site_type_symbol
_atom_site_fract_x
_atom_site_fract_y
_atom_site_fract_z
Ag1 Ag 0.0000 0.0000 0.0000
Ru1 Ru 0.2500 0.2500 0.2500
Au1 Au 0.0000 0.0000 0.5000
```

## Properties
As for the formation energy: 2.9 eV per formula unit. The offset from the most stable computed form is 522.2 meV per atom.



A geometry-optimized V8FeGe2 structure, computed with GGA-PBE.

```
data_V8FeGe2
_chemical_formula_sum 'V16 Fe2 Ge4'
_cell_length_a 13.1431
_cell_length_b 4.1574
_cell_length_c 5.7970
_cell_angle_alpha 90.00
_cell_angle_beta 110.57
_cell_angle_gamma 90.00
_space_group_name_H-M_alt 'C 1 2/m 1'
_space_group_IT_number 12
_space_group_name_Hall '-C 2y'
loop_
_atom_site_label
_atom_site_type_symbol
_atom_site_fract_x
_atom_site_fract_y
_atom_site_fract_z
V1 V 0.0147 0.0000 0.2330
V2 V 0.1031 0.5000 0.9075
V3 V 0.1542 0.5000 0.4075
V4 V 0.1641 0.0000 0.6841
Fe1 Fe 0.0000 0.5000 0.5000
Ge1 Ge 0.1964 0.0000 0.1667
```

## Properties
As for the formation energy: -1.4 eV per formula unit.



A geometry-optimized Nd4Ho5Tl2 structure, computed with GGA-PBE.

```
data_Nd4Ho5Tl2
_chemical_formula_sum 'Nd12 Ho15 Tl6'
_cell_length_a 5.2301
_cell_length_b 5.2301
_cell_length_c 48.4646
_cell_angle_alpha 90.00
_cell_angle_beta 90.00
_cell_angle_gamma 120.00
_space_group_name_H-M_alt 'R -3 m'
_space_group_IT_number 166
_space_group_name_Hall '-R 3 2"'
loop_
_atom_site_label
_atom_site_type_symbol
_atom_site_fract_x
_atom_site_fract_y
_atom_site_fract_z
Nd1 Nd 0.0000 0.0000 0.0733
Nd2 Nd 0.0000 0.0000 0.2232
Ho1 Ho 0.0000 0.0000 0.0000
Ho2 Ho 0.0000 0.0000 0.1488
Ho3 Ho 0.0000 0.0000 0.3006
Tl1 Tl 0.0000 0.0000 0.3729
```

## Properties
As for the formation energy: 2.5 eV per formula unit.



A geometry-optimized ZrPaCd6 structure, computed with GGA-PBE.

```
data_ZrPaCd6
_chemical_formula_sum 'Zr3 Pa3 Cd18'
_cell_length_a 5.9480
_cell_length_b 5.9480
_cell_length_c 23.3928
_cell_angle_alpha 90.00
_cell_angle_beta 90.00
_cell_angle_gamma 120.00
_space_group_name_H-M_alt 'R -3 m'
_space_group_IT_number 166
_space_group_name_Hall '-R 3 2"'
loop_
_atom_site_label
_atom_site_type_symbol
_atom_site_fract_x
_atom_site_fract_y
_atom_site_fract_z
Zr1 Zr 0.0000 0.0000 0.0000
Pa1 Pa 0.0000 0.0000 0.5000
Cd1 Cd 0.0063 0.5032 0.4350
```

## Properties
As for the formation energy: 4.5 eV per formula unit.



A geometry-optimized LaCu2Hg structure, computed with GGA-PBE.

```
data_LaCu2Hg
_chemical_formula_sum 'La1 Cu2 Hg1'
_cell_length_a 4.0513
_cell_length_b 4.2649
_cell_length_c 5.3618
_cell_angle_alpha 90.00
_cell_angle_beta 112.11
_cell_angle_gamma 90.00
_space_group_name_H-M_alt 'P 1 m 1'
_space_group_IT_number 6
_space_group_name_Hall 'P -2y'
loop_
_atom_site_label
_atom_site_type_symbol
_atom_site_fract_x
_atom_site_fract_y
_atom_site_fract_z
La1 La 0.0000 0.0000 0.0000
Cu1 Cu 0.5964 0.5000 0.1931
Cu2 Cu 0.7139 0.0000 0.4310
Hg1 Hg 0.3003 0.5000 0.6012
```

## Properties
As for the formation energy: -0.5 eV per formula unit.



> Number 1 is which compound?

La3Sm4Er